# 1
! CaCdIN2 | Alexandria via LeMat-Bulk | PBEsol | optimized geometry; values from VASP
! formation energy from raw total energies: 1.07 eV/atom
! total energy: -3.358 eV per atom
&SYSTEM
  ibrav = 0, nat = 5, ntyp = 4
/
ATOMIC_SPECIES
Ca 40.08 Ca.upf
Cd 112.41 Cd.upf
I 126.90 I.upf
N 14.01 N.upf
ATOMIC_POSITIONS crystal
Ca 0.000 0.000 0.000
Cd 0.500 0.500 0.500
I 0.000 0.000 0.500
N 0.000 0.500 0.000
N 0.500 0.000 0.000
CELL_PARAMETERS angstrom
4.598 0.000 0.000
0.000 4.598 0.000
0.000 0.000 6.189

# 2
! NdN | Alexandria via LeMat-Bulk | PBEsol | optimized geometry; values from VASP
! formation energy from raw total energies: -1.50 eV/atom
! total energy: -8.348 eV per atom
&SYSTEM
  ibrav = 0, nat = 8, ntyp = 2
/
ATOMIC_SPECIES
Nd 144.24 Nd.upf
N 14.01 N.upf
ATOMIC_POSITIONS crystal
Nd 0.000 0.000 0.000
Nd 0.000 0.500 0.500
Nd 0.500 0.000 0.500
Nd 0.500 0.500 0.000
N 0.000 0.000 0.500
N 0.000 0.500 0.000
N 0.500 0.000 0.000
N 0.500 0.500 0.500
CELL_PARAMETERS angstrom
5.106 0.000 0.000
0.000 5.106 0.000
0.000 0.000 5.106

# 3
! CdP4Pt | Alexandria via LeMat-Bulk | PBEsol | optimized geometry; values from VASP
! total energy: -4.631 eV per atom
! energy of formation from the pure elements: 0.59 eV/atom
&SYSTEM
  ibrav = 0, nat = 6, ntyp = 3
/
ATOMIC_SPECIES
Cd 112.41 Cd.upf
P 30.97 P.upf
Pt 195.08 Pt.upf
ATOMIC_POSITIONS crystal
Cd 0.000 0.000 0.000
P 0.388 0.388 0.388
P 0.388 0.388 0.836
P 0.388 0.836 0.388
P 0.836 0.388 0.388
Pt 0.750 0.750 0.750
CELL_PARAMETERS angstrom
0.000 3.662 3.662
3.662 0.000 3.662
3.662 3.662 0.000

# 4
! AlCrSN2 | Alexandria via LeMat-Bulk | PBEsol | optimized geometry; values from VASP
! formation energy from raw total energies: 0.53 eV/atom
! total energy: -6.626 eV per atom
&SYSTEM
  ibrav = 0, nat = 5, ntyp = 4
/
ATOMIC_SPECIES
Al 26.98 Al.upf
Cr 52.00 Cr.upf
S 32.06 S.upf
N 14.01 N.upf
ATOMIC_POSITIONS crystal
Al 0.000 0.000 0.000
Cr 0.500 0.500 0.500
S 0.000 0.000 0.500
N 0.000 0.500 0.000
N 0.500 0.000 0.000
CELL_PARAMETERS angstrom
3.658 0.000 0.000
0.000 3.658 0.000
0.000 0.000 4.838

# 5
! AlNiSe | Alexandria via LeMat-Bulk | PBEsol | optimized geometry; values from VASP
! formation energy from raw total energies: -0.21 eV/atom
! total energy: -4.914 eV per atom
&SYSTEM
  ibrav = 0, nat = 3, ntyp = 3
/
ATOMIC_SPECIES
Al 26.98 Al.upf
Ni 58.69 Ni.upf
Se 78.96 Se.upf
ATOMIC_POSITIONS crystal
Al 0.000 0.000 0.000
Ni 0.333 0.667 0.689
Se 0.667 0.333 0.397
CELL_PARAMETERS angstrom
3.239 0.000 0.000
-1.620 2.805 0.000
0.000 0.000 5.074

# 6
! Zr2RhBr | Alexandria via LeMat-Bulk | PBEsol | optimized geometry; values from VASP
! formation energy from raw total energies: -0.20 eV/atom
! total energy: -7.248 eV per atom
! excess energy over the best structure of this formula in the dataset: 204 meV per atom
&SYSTEM
  ibrav = 0, nat = 8, ntyp = 3
/
ATOMIC_SPECIES
Zr 91.22 Zr.upf
Rh 102.91 Rh.upf
Br 79.90 Br.upf
ATOMIC_POSITIONS crystal
Zr 0.000 0.000 0.000
Zr 0.000 0.500 0.250
Zr 0.500 0.000 0.750
Zr 0.500 0.500 0.500
Rh 0.000 0.500 0.750
Rh 0.500 0.000 0.250
Br 0.000 0.000 0.500
Br 0.500 0.500 0.000
CELL_PARAMETERS angstrom
3.817 0.000 0.000
0.000 3.817 0.000
0.000 0.000 10.229

# 7
! K3YTa | Alexandria via LeMat-Bulk | PBEsol | optimized geometry; values from VASP
! total energy: -2.667 eV per atom
! energy of formation from the pure elements: 1.89 eV/atom
&SYSTEM
  ibrav = 0, nat = 5, ntyp = 3
/
ATOMIC_SPECIES
K 39.10 K.upf
Y 88.91 Y.upf
Ta 180.95 Ta.upf
ATOMIC_POSITIONS crystal
K 0.000 0.000 0.500
K 0.000 0.500 0.000
K 0.500 0.000 0.000
Y 0.500 0.500 0.500
Ta 0.000 0.000 0.000
CELL_PARAMETERS angstrom
6.491 0.000 0.000
0.000 6.491 0.000
0.000 0.000 6.491

# 8
! MgSc2 | Alexandria via LeMat-Bulk | PBEsol | optimized geometry; values from VASP
! total energy: -4.916 eV per atom
! energy of formation from the pure elements: 0.06 eV/atom
&SYSTEM
  ibrav = 0, nat = 6, ntyp = 2
/
ATOMIC_SPECIES
Mg 24.30 Mg.upf
Sc 44.96 Sc.upf
ATOMIC_POSITIONS crystal
Mg 0.000 0.000 0.000
Mg 0.500 0.500 0.500
Sc 0.000 0.000 0.332
Sc 0.000 0.000 0.668
Sc 0.500 0.500 0.168
Sc 0.500 0.500 0.832
CELL_PARAMETERS angstrom
3.168 0.000 0.000
0.000 4.618 0.000
0.000 0.000 9.550

# 9
! Ta2HN | Alexandria via LeMat-Bulk | PBEsol | optimized geometry; values from VASP
! total energy: -8.905 eV per atom
&SYSTEM
  ibrav = 0, nat = 16, ntyp = 3
/
ATOMIC_SPECIES
Ta 180.95 Ta.upf
H 1.01 H.upf
N 14.01 N.upf
ATOMIC_POSITIONS crystal
Ta 0.250 0.250 0.250
Ta 0.250 0.250 0.750
Ta 0.250 0.750 0.250
Ta 0.250 0.750 0.750
Ta 0.750 0.250 0.250
Ta 0.750 0.250 0.750
Ta 0.750 0.750 0.250
Ta 0.750 0.750 0.750
H 0.000 0.000 0.000
H 0.000 0.500 0.500
H 0.500 0.000 0.500
H 0.500 0.500 0.000
N 0.000 0.000 0.500
N 0.000 0.500 0.000
N 0.500 0.000 0.000
N 0.500 0.500 0.500
CELL_PARAMETERS angstrom
5.512 0.000 0.000
0.000 5.512 0.000
0.000 0.000 5.512

# 10
! Ho2WO6 | Alexandria via LeMat-Bulk | PBEsol | optimized geometry; values from VASP
! formation energy from raw total energies: -3.11 eV/atom
! total energy: -9.246 eV per atom
! excess energy over the best structure of this formula in the dataset: 0 meV per atom
&SYSTEM
  ibrav = 0, nat = 36, ntyp = 3
/
ATOMIC_SPECIES
Ho 164.93 Ho.upf
W 183.84 W.upf
O 16.00 O.upf
ATOMIC_POSITIONS crystal
Ho 0.000 0.181 0.250
Ho 0.000 0.819 0.750
Ho 0.296 0.317 0.922
Ho 0.296 0.683 0.422
Ho 0.500 0.238 0.250
Ho 0.500 0.762 0.750
Ho 0.704 0.317 0.578
Ho 0.704 0.683 0.078
W 0.222 0.246 0.614
W 0.222 0.754 0.114
W 0.778 0.246 0.886
W 0.778 0.754 0.386
O 0.012 0.143 0.887
O 0.012 0.857 0.387
O 0.132 0.346 0.450
O 0.132 0.654 0.950
O 0.212 0.482 0.230
O 0.212 0.518 0.730
O 0.287 0.037 0.773
O 0.287 0.963 0.273
O 0.352 0.028 0.070
O 0.352 0.972 0.570
O 0.438 0.461 0.603
O 0.438 0.539 0.103
O 0.562 0.461 0.897
O 0.562 0.539 0.397
O 0.648 0.028 0.430
O 0.648 0.972 0.930
O 0.713 0.037 0.727
O 0.713 0.963 0.227
O 0.788 0.482 0.270
O 0.788 0.518 0.770
O 0.868 0.346 0.050
O 0.868 0.654 0.550
O 0.988 0.143 0.613
O 0.988 0.857 0.113
CELL_PARAMETERS angstrom
7.569 0.000 0.000
0.000 5.291 0.000
-2.872 0.000 10.884

# 11
! Si2AgPt | Alexandria via LeMat-Bulk | PBEsol | optimized geometry; values from VASP
! formation energy from raw total energies: -0.17 eV/atom
! total energy: -5.615 eV per atom
! excess energy over the best structure of this formula in the dataset: 0 meV per atom
&SYSTEM
  ibrav = 0, nat = 8, ntyp = 3
/
ATOMIC_SPECIES
Si 28.09 Si.upf
Ag 107.87 Ag.upf
Pt 195.08 Pt.upf
ATOMIC_POSITIONS crystal
Si 0.000 0.000 0.000
Si 0.000 0.500 0.500
Si 0.500 0.000 0.395
Si 0.500 0.500 0.895
Ag 0.000 0.000 0.278
Ag 0.000 0.500 0.778
Pt 0.500 0.000 0.104
Pt 0.500 0.500 0.604
CELL_PARAMETERS angstrom
4.716 0.000 0.000
0.000 3.154 0.000
0.000 0.000 8.713

# 12
! InTcIr2 | Alexandria via LeMat-Bulk | PBEsol | optimized geometry; values from VASP
! total energy: -8.346 eV per atom
! energy of formation from the pure elements: 0.13 eV/atom
&SYSTEM
  ibrav = 0, nat = 8, ntyp = 3
/
ATOMIC_SPECIES
In 114.82 In.upf
Tc 98.00 Tc.upf
Ir 192.22 Ir.upf
ATOMIC_POSITIONS crystal
In 0.000 0.000 0.000
In 0.500 0.500 0.500
Tc 0.000 0.500 0.750
Tc 0.500 0.000 0.250
Ir 0.000 0.000 0.500
Ir 0.000 0.500 0.250
Ir 0.500 0.000 0.750
Ir 0.500 0.500 0.000
CELL_PARAMETERS angstrom
3.913 0.000 0.000
0.000 3.913 0.000
0.000 0.000 7.924

Q: total energy of number 9 (Ta2HN)?
A: -8.905 eV per atom